Entry 1:
Material: Mn3TcP
Method: DFT, PBE
State: optimized geometry

The energy above the most stable polymorph in this dataset comes out at 0.0000 eV/atom. Its total magnetization is 2.1 μB per formula unit.

The structure belongs to space group Pm-3m (No. 221); the cell edges are 4.0637, 4.0637 and 4.0637 Å and the angles 90.00°, 90.00° and 90.00°. Symmetry generates all atoms from Mn at (0.0000, 0.0000, 0.5000), Tc at (0.5000, 0.5000, 0.5000) and P at (0.0000, 0.0000, 0.0000).

Entry 2:
Material: MnTcP2
Method: DFT, PBE
State: optimized geometry

The energy above the most stable polymorph in this dataset comes out at 0.1615 eV/atom. Its total magnetization is 0.5 μB per formula unit.

The structure belongs to space group Pmm2 (No. 25); the cell edges are 2.8979, 4.2800 and 4.0084 Å and the angles 90.00°, 90.00° and 90.00°. Symmetry generates all atoms from Mn at (0.0000, 0.0000, 0.0000), Tc at (0.5000, 0.5000, 0.2567), P at (0.0000, 0.5000, 0.7549) and P at (0.5000, 0.0000, 0.5279).

Entry 3:
Material: MnTcP2
Method: DFT, PBE
State: optimized geometry

The energy above the most stable polymorph in this dataset comes out at 0.5253 eV/atom. Its total magnetization is 1.8 μB per formula unit.

The structure belongs to space group Immm (No. 71); the cell edges are 3.0532, 4.7204 and 7.2365 Å and the angles 90.00°, 90.00° and 90.00°. Symmetry generates all atoms from Mn at (0.0000, 0.0000, 0.0000), Tc at (0.0000, 0.0000, 0.5000) and P at (0.0000, 0.5000, 0.2640).

Entry 4:
Material: Mn3TcP
Method: DFT, PBE
State: optimized geometry

The energy above the most stable polymorph in this dataset comes out at 0.7181 eV/atom. Its total magnetization is 8.6 μB per formula unit.

The structure belongs to space group Pm-3m (No. 221); the cell edges are 4.5776, 4.5776 and 4.5776 Å and the angles 90.00°, 90.00° and 90.00°. Symmetry generates all atoms from Mn at (0.0000, 0.0000, 0.5000), Tc at (0.0000, 0.0000, 0.0000) and P at (0.5000, 0.5000, 0.5000).